1.
VASP calculation (GGA-PBE) on a relaxed HfTePd3 crystal.

SG = Pm-3m, No. 221
polymorph energy (0 for the lowest one) = 0.008 eV per atom
total moment = 0.00 μB/f.u.

Cell: 4.926 4.926 4.926 Å, 90.00 90.00 90.00°
Fractional positions:
Hf: 0.000 0.000 0.000
Te: 0.500 0.500 0.500
Pd: 0.000 0.000 0.500
Pd: 0.000 0.500 0.000
Pd: 0.500 0.000 0.000

---

2.
VASP calculation (GGA-PBE) on a relaxed Tb4AgIr2Rh crystal.

SG = R-3m, No. 166
ΔH_f (0 K) = -5.8 eV per formula unit
total moment = 0.00 μB/f.u.

Cell: 8.549 8.549 8.549 Å, 33.48 33.48 33.48°
Fractional positions:
Tb: 0.122 0.122 0.122
Tb: 0.372 0.372 0.372
Tb: 0.628 0.628 0.628
Tb: 0.878 0.878 0.878
Ag: 0.500 0.500 0.500
Ir: 0.249 0.249 0.249
Ir: 0.751 0.751 0.751
Rh: 0.000 0.000 0.000